(1)
{
  "formula": "Ca6SiHg5",
  "functional": "PBE-GGA",
  "state": "optimized geometry",
  "cell": [[-0.8545, 5.1940, -0.1697], [-5.1373, -0.6622, 5.5985], [5.2800, 3.7114, 5.2840]],
  "species": ["Ca", "Ca", "Ca", "Ca", "Ca", "Ca", "Si", "Hg", "Hg", "Hg", "Hg", "Hg"],
  "frac_coords": [[0.8377, 0.7524, 0.3247], [0.8377, 0.2476, 0.3247], [0.5000, 0.2417, 0.0000], [0.5000, 0.7583, 0.0000], [0.1623, 0.7524, 0.6753], [0.1623, 0.2476, 0.6753], [0.0000, 0.0000, 0.0000], [0.6678, 0.5000, 0.6644], [0.3307, 0.0000, 0.3386], [0.0000, 0.5000, 0.0000], [0.6693, 0.0000, 0.6614], [0.3322, 0.5000, 0.3356]],
  "e_form_raw_mev_per_atom": -519,
  "e_tot_ha_per_atom": -0.0771
}

(2)
{
  "formula": "Sm4Pd7Au6",
  "functional": "PBE-GGA",
  "state": "optimized geometry",
  "cell": [[7.1766, 0.0000, -2.5373], [-3.5883, 6.2151, -2.5373], [0.0000, 0.0000, 7.6119]],
  "species": ["Sm", "Sm", "Sm", "Sm", "Pd", "Pd", "Pd", "Pd", "Pd", "Pd", "Pd", "Au", "Au", "Au", "Au", "Au", "Au"],
  "frac_coords": [[0.5000, 0.0000, 0.0000], [0.5000, 0.5000, 0.5000], [0.0000, 0.5000, 0.0000], [0.0000, 0.0000, 0.5000], [0.7500, 0.5000, 0.2500], [0.2500, 0.7500, 0.5000], [0.5000, 0.7500, 0.2500], [0.7500, 0.2500, 0.5000], [0.2500, 0.5000, 0.7500], [0.5000, 0.2500, 0.7500], [0.0000, 0.0000, 0.0000], [0.6962, 0.0000, 0.6962], [0.6962, 0.6962, 0.0000], [0.0000, 0.3038, 0.3038], [0.3038, 0.0000, 0.3038], [0.3038, 0.3038, 0.0000], [0.0000, 0.6962, 0.6962]],
  "e_tot_ha_per_atom": -0.1860
}

(3)
{
  "formula": "Ta2TcW",
  "functional": "PBE-GGA",
  "state": "optimized geometry",
  "cell": [[5.3645, -0.0036, 0.0011], [2.5024, 4.7451, -0.0011], [-3.4612, -3.1543, 2.6170]],
  "species": ["Tc", "W", "Ta", "Ta"],
  "frac_coords": [[0.4977, 0.4977, 0.0000], [0.2544, 0.7544, 0.5000], [0.0030, 0.0030, 0.0000], [0.7449, 0.2449, 0.5000]],
  "polymorph_energy_mev_per_atom": 56,
  "e_tot_ha_per_atom": -0.4411
}

(4)
{
  "formula": "ErNi2Ge",
  "functional": "PBE-GGA",
  "state": "optimized geometry",
  "cell": [[4.0886, 0.0000, 0.0000], [2.0443, 3.5409, 0.0000], [2.0443, 1.1803, 4.5255]],
  "species": ["Ni", "Ni", "Ge", "Er"],
  "frac_coords": [[0.7967, 0.7967, 0.6100], [0.2033, 0.2033, 0.3900], [0.5000, 0.5000, 0.5000], [0.0000, 0.0000, 0.0000]],
  "e_tot_ha_per_atom": -0.2117
}

(5)
{
  "formula": "PuInNi",
  "functional": "PBE-GGA",
  "state": "optimized geometry",
  "cell": [[3.9885, 0.0000, 0.0000], [0.0000, 7.4292, 0.0000], [0.0000, 0.0000, 12.6049]],
  "species": ["Pu", "Pu", "Pu", "Pu", "Pu", "Pu", "In", "In", "In", "In", "In", "In", "Ni", "Ni", "Ni", "Ni", "Ni", "Ni"],
  "frac_coords": [[0.0000, 0.2216, 0.9576], [0.0000, 0.7784, 0.0424], [0.0000, 0.2216, 0.5424], [0.0000, 0.7784, 0.4576], [0.0000, 0.1417, 0.2500], [0.0000, 0.8583, 0.7500], [0.5000, 0.4307, 0.1216], [0.5000, 0.5693, 0.8784], [0.5000, 0.4307, 0.3784], [0.5000, 0.5693, 0.6216], [0.5000, 0.7978, 0.2500], [0.5000, 0.2022, 0.7500], [0.5000, 0.0573, 0.0941], [0.5000, 0.9427, 0.9059], [0.5000, 0.0573, 0.4059], [0.5000, 0.9427, 0.5941], [0.0000, 0.5519, 0.2500], [0.0000, 0.4481, 0.7500]],
  "e_tot_ha_per_atom": -0.2878
}

(6)
{
  "formula": "Sc2PbBr",
  "functional": "PBE-GGA",
  "state": "optimized geometry",
  "cell": [[-0.3715, 9.7691, 3.6065], [0.7685, 8.1740, 6.4169], [2.9780, 9.1546, 3.9881]],
  "species": ["Pb", "Sc", "Sc", "Br"],
  "frac_coords": [[0.0000, 0.0000, 0.0000], [0.9039, 0.9039, 0.9039], [0.0961, 0.0961, 0.0961], [0.5000, 0.5000, 0.5000]],
  "e_form_raw_mev_per_atom": -291,
  "polymorph_energy_mev_per_atom": 316,
  "e_tot_ha_per_atom": -0.1765
}

(7)
{
  "formula": "Tb4Er3Pd4",
  "functional": "PBE-GGA",
  "state": "optimized geometry",
  "cell": [[3.8187, 0.0000, 0.0000], [0.0000, 9.1810, 0.0000], [-1.9093, -4.5905, 7.9020]],
  "species": ["Tb", "Tb", "Tb", "Tb", "Er", "Er", "Er", "Pd", "Pd", "Pd", "Pd"],
  "frac_coords": [[0.3391, 0.1533, 0.6782], [0.6609, 0.4751, 0.3218], [0.6609, 0.8467, 0.3218], [0.3391, 0.5249, 0.6782], [0.1073, 0.1073, 0.2146], [0.8927, 0.8927, 0.7854], [0.0000, 0.5000, 0.0000], [0.2483, 0.7483, 0.4967], [0.7517, 0.2517, 0.5033], [0.5000, 0.8327, 0.0000], [0.5000, 0.1673, 0.0000]],
  "e_tot_ha_per_atom": -0.1986
}

(8)
{
  "formula": "CsPm2AgSe4",
  "functional": "PBE-GGA",
  "state": "optimized geometry",
  "cell": [[4.3444, 0.0000, 0.0000], [-2.1722, 7.4428, 0.0000], [0.0000, 0.0000, 15.1089]],
  "species": ["Cs", "Cs", "Pm", "Pm", "Pm", "Pm", "Ag", "Ag", "Se", "Se", "Se", "Se", "Se", "Se", "Se", "Se"],
  "frac_coords": [[0.1156, 0.2312, 0.7500], [0.8844, 0.7688, 0.2500], [0.3685, 0.7369, 0.5649], [0.6315, 0.2631, 0.0649], [0.6315, 0.2631, 0.4351], [0.3685, 0.7369, 0.9351], [0.8361, 0.6722, 0.7500], [0.1639, 0.3278, 0.2500], [0.2590, 0.5180, 0.1011], [0.7410, 0.4820, 0.6011], [0.7410, 0.4820, 0.8989], [0.2590, 0.5180, 0.3989], [0.0000, 0.0000, 0.5000], [0.0000, 0.0000, 0.0000], [0.4354, 0.8708, 0.7500], [0.5646, 0.1292, 0.2500]],
  "e_form_raw_mev_per_atom": -1484,
  "e_tot_ha_per_atom": -0.1792
}